{"formula": "NaInFe2", "functional": "PBE-GGA", "state": "optimized geometry", "cell": [[-3.7257, 3.7257, 2.7074], [3.7257, -3.7257, 2.7074], [3.7257, 3.7257, -2.7074]], "species": ["Na", "Na", "In", "In", "Fe", "Fe", "Fe", "Fe"], "fractional_positions": [[0.0000, 0.0000, 0.0000], [0.7500, 0.2500, 0.5000], [0.2500, 0.7500, 0.5000], [0.5000, 0.5000, 0.0000], [0.1377, 0.6250, 0.0127], [0.3750, 0.3877, 0.5127], [0.6123, 0.1250, 0.9873], [0.8750, 0.8623, 0.4873]], "crystal_system": "tetragonal", "m_tot_mub_per_atom": 1.303, "space_group": "I-42d", "ef_ev_per_atom": 0.88, "final_energy_ev_per_cell": -34.92}

=====

{"formula": "NaIn2Fe", "functional": "PBE-GGA", "state": "optimized geometry", "cell": [[0.0000, 3.3419, 3.3419], [3.3419, 0.0000, 3.3419], [3.3419, 3.3419, 0.0000]], "species": ["Na", "In", "In", "Fe"], "fractional_positions": [[0.0000, 0.0000, 0.0000], [0.2500, 0.2500, 0.2500], [0.7500, 0.7500, 0.7500], [0.5000, 0.5000, 0.5000]], "crystal_system": "cubic", "m_tot_mub_per_atom": 0.000, "space_group": "Fm-3m", "ef_ev_per_atom": 0.38, "final_energy_ev_per_cell": -13.72}